A relaxed Fe4PSe crystal, computed with PBE.

Values from the calculation:
- raw total energy (eV per atom) = -6.70

Cell and atoms, written as CIF:
```
data_Fe4PSe
_symmetry_space_group_name_H-M 'P 1'
_symmetry_Int_Tables_number 1
_cell_length_a 4.899
_cell_length_b 4.899
_cell_length_c 4.899
_cell_angle_alpha 60.00
_cell_angle_beta 60.00
_cell_angle_gamma 60.00
loop_
_symmetry_equiv_pos_as_xyz
'x,y,z'
loop_
_atom_site_label
_atom_site_fract_x
_atom_site_fract_y
_atom_site_fract_z
Fe1 0.624 0.624 0.127
Fe2 0.127 0.624 0.624
Fe3 0.624 0.624 0.624
Fe4 0.624 0.127 0.624
Se1 0.000 0.000 0.000
P1 0.250 0.250 0.250
```